No. 1
{
  "formula": "Sc4Pt2Au",
  "functional": "PBE",
  "state": "relaxed",
  "sg": "No. 166",
  "crystal_system": "trigonal",
  "cell": [[2.330, 1.345, 7.553], [-2.330, 1.345, 7.553], [0.000, -2.690, 7.553]],
  "species": ["Sc", "Sc", "Sc", "Sc", "Pt", "Pt", "Au"],
  "fractional_positions": [[0.120, 0.120, 0.120], [0.371, 0.371, 0.371], [0.629, 0.629, 0.629], [0.880, 0.880, 0.880], [0.250, 0.250, 0.250], [0.750, 0.750, 0.750], [0.500, 0.500, 0.500]]
}


No. 2
{
  "formula": "Nd2InGa4Ir3",
  "functional": "PBE",
  "state": "relaxed",
  "sg": "No. 115",
  "crystal_system": "tetragonal",
  "cell": [[4.212, 0.000, 0.000], [0.000, 4.212, 0.000], [0.000, 0.000, 11.128]],
  "species": ["Nd", "Nd", "In", "Ga", "Ga", "Ga", "Ga", "Ir", "Ir", "Ir"],
  "fractional_positions": [[0.000, 0.500, 0.237], [0.500, 0.000, 0.763], [0.000, 0.000, 0.500], [0.000, 0.000, 0.000], [0.000, 0.500, 0.648], [0.500, 0.000, 0.352], [0.500, 0.500, 0.000], [0.000, 0.500, 0.872], [0.500, 0.000, 0.128], [0.500, 0.500, 0.500]]
}


No. 3
{
  "formula": "KLa3S4",
  "functional": "PBE",
  "state": "relaxed",
  "sg": "No. 194",
  "formation_energy_uncorrected_ev_per_fu": -16.21,
  "crystal_system": "hexagonal",
  "cell": [[4.219, 0.000, 0.000], [-2.109, 3.654, 0.000], [0.000, 0.000, 28.383]],
  "species": ["K", "K", "La", "La", "La", "La", "La", "La", "S", "S", "S", "S", "S", "S", "S", "S"],
  "fractional_positions": [[0.333, 0.667, 0.250], [0.667, 0.333, 0.750], [0.000, 0.000, 0.000], [0.000, 0.000, 0.500], [0.333, 0.667, 0.618], [0.333, 0.667, 0.882], [0.667, 0.333, 0.118], [0.667, 0.333, 0.382], [0.000, 0.000, 0.173], [0.000, 0.000, 0.327], [0.000, 0.000, 0.673], [0.000, 0.000, 0.827], [0.333, 0.667, 0.060], [0.333, 0.667, 0.440], [0.667, 0.333, 0.560], [0.667, 0.333, 0.940]]
}


no.,E (eV per atom),spin magnetization (μB/cell)
1,-6.77,0.0
2,-5.69,0.0
3,-6.07,0.0